1.
Below is a relaxed Ce3Pm4TmSe8 crystal, with properties calculated at the GGA-PBE level.

Lattice parameters (Å, degrees): 8.3721 8.3546 8.3724 120.06 120.00 90.00
Element x y z (fractional)
Ce 0.0000 0.5000 0.5000
Ce 0.5000 0.5000 0.5000
Ce 0.5000 0.5000 0.0000
Se 0.7501 0.7512 0.5002
Se 0.2444 0.7443 0.0009
Se 0.2499 0.2488 0.4998
Se 0.2435 0.2557 0.9991
Se 0.7565 0.7443 0.0009
Se 0.2443 0.7452 0.4885
Se 0.7557 0.2548 0.5115
Se 0.7556 0.2557 0.9991
Pm 0.0000 0.0000 0.5000
Pm 0.5000 0.0000 0.5000
Pm 0.0000 0.0000 0.0000
Pm 0.5000 0.0000 0.0000
Tm 0.0000 0.5000 0.0000

- calculated total energy (hartree per atom) = -0.226
- E_form (uncorrected) (eV per atom) = -1.828


2.
Below is a relaxed Ce3Pm2TmSe6 crystal, with properties calculated at the GGA-PBE level.

Lattice parameters (Å, degrees): 7.2065 7.2065 7.2586 99.53 99.53 120.03
Element x y z (fractional)
Ce 0.5000 0.5000 0.5000
Ce 0.8288 0.1712 0.5000
Ce 0.1712 0.8288 0.5000
Pm 0.3339 0.6661 0.0000
Pm 0.6661 0.3339 0.0000
Tm 0.0000 0.0000 0.0000
Se 0.9198 0.5961 0.7584
Se 0.0802 0.4039 0.2416
Se 0.7590 0.7590 0.2464
Se 0.4039 0.0802 0.2416
Se 0.5961 0.9198 0.7584
Se 0.2410 0.2410 0.7536

- calculated total energy (hartree per atom) = -0.228
- E_form (uncorrected) (eV per atom) = -1.807


3.
Below is a relaxed Ce2PmTmSe4 crystal, with properties calculated at the GGA-PBE level.

Lattice parameters (Å, degrees): 4.1204 7.1858 7.2606 109.00 90.00 90.00
Element x y z (fractional)
Se 0.0000 0.7557 0.2432
Se 0.5000 0.7621 0.7626
Se 0.0000 0.2443 0.7568
Se 0.5000 0.2379 0.2374
Pm 0.5000 0.5000 0.0000
Ce 0.5000 0.0000 0.5000
Ce 0.0000 0.5000 0.5000
Tm 0.0000 0.0000 0.0000

- calculated total energy (hartree per atom) = -0.227
- E_form (uncorrected) (eV per atom) = -1.791


4.
Below is a relaxed Ce4Pm3TmSe8 crystal, with properties calculated at the GGA-PBE level.

Lattice parameters (Å, degrees): 8.3397 8.3782 8.3396 119.84 120.00 90.00
Element x y z (fractional)
Se 0.2442 0.2568 0.0003
Se 0.2439 0.7432 0.9997
Se 0.7558 0.7432 0.9997
Se 0.2436 0.7431 0.4872
Se 0.2501 0.2507 0.5002
Se 0.7561 0.2568 0.0003
Se 0.7499 0.7493 0.4998
Se 0.7564 0.2569 0.5128
Ce 0.0000 0.0000 0.0000
Ce 0.0000 0.0000 0.5000
Ce 0.5000 0.0000 0.5000
Ce 0.5000 0.0000 0.0000
Pm 0.5000 0.5000 0.5000
Pm 0.0000 0.5000 0.5000
Pm 0.5000 0.5000 0.0000
Tm 0.0000 0.5000 0.0000

- calculated total energy (hartree per atom) = -0.228
- E_form (uncorrected) (eV per atom) = -1.812


5.
Below is a relaxed CePm2Tm3Se6 crystal, with properties calculated at the GGA-PBE level.

Lattice parameters (Å, degrees): 4.0491 8.3496 9.2554 104.89 102.64 90.00
Element x y z (fractional)
Pm 0.1655 0.3312 0.3310
Pm 0.8345 0.6688 0.6690
Tm 0.8331 0.1652 0.6662
Tm 0.5000 0.5000 0.0000
Tm 0.1669 0.8348 0.3338
Se 0.6635 0.5934 0.3269
Se 0.9959 0.2603 0.9917
Se 0.6708 0.0741 0.3416
Se 0.0041 0.7397 0.0083
Se 0.3365 0.4066 0.6731
Se 0.3292 0.9259 0.6584
Ce 0.5000 0.0000 0.0000

- calculated total energy (hartree per atom) = -0.217
- E_form (uncorrected) (eV per atom) = -1.757


6.
Below is a relaxed Ce2PmTm3Se6 crystal, with properties calculated at the GGA-PBE level.

Lattice parameters (Å, degrees): 4.0519 8.3460 9.2585 104.96 102.64 90.00
Element x y z (fractional)
Se 0.3376 0.4068 0.6752
Se 0.0036 0.7406 0.0071
Se 0.6624 0.5932 0.3248
Se 0.3296 0.9268 0.6592
Se 0.9964 0.2594 0.9929
Se 0.6704 0.0732 0.3408
Tm 0.1660 0.8323 0.3321
Tm 0.5000 0.5000 0.0000
Tm 0.8340 0.1677 0.6679
Ce 0.1672 0.3345 0.3344
Ce 0.8328 0.6655 0.6656
Pm 0.5000 0.0000 0.0000

- calculated total energy (hartree per atom) = -0.221
- E_form (uncorrected) (eV per atom) = -1.759